Computed, not measured: a geometry-optimized YW2F2 structure at the PBE+U level of DFT.

Results
The total energy comes out at -4.86 eV/atom. The calculation puts the energy above the lowest structure with this stoichiometry at 0.2182 eV/atom. The calculation puts the total magnetization at 0.2140 μB per atom.

Cell: 3.966 3.966 10.954 Å, 90.00 90.00 90.00°
Element x y z (fractional)
Y 0.000 0.000 0.000
Y 0.500 0.500 0.500
W 0.000 0.500 0.250
W 0.000 0.500 0.750
W 0.500 0.000 0.250
W 0.500 0.000 0.750
F 0.000 0.000 0.391
F 0.000 0.000 0.609
F 0.500 0.500 0.109
F 0.500 0.500 0.891